VASP calculation (PBE) on a geometry-optimized LaThCu2Ge2 structure.

Structure (POSCAR):
```
LaThCu2Ge2
1.0
4.266 0.000 0.000
-2.133 3.694 0.000
0.000 0.000 8.238
La Th Cu Ge
1 1 2 2
Cartesian
0.000 0.000 0.000 La
0.000 0.000 4.119 Th
0.000 2.463 6.054 Cu
2.133 1.231 2.184 Cu
0.000 2.463 2.099 Ge
2.133 1.231 6.139 Ge
```

Computed properties:
ΔE_f	-3.88	eV per formula unit